{
  "formula": "ScTa2Rh",
  "functional": "PBEsol",
  "state": "optimized geometry",
  "cell": [[3.157, 0.000, 0.000], [0.000, 4.454, 0.000], [0.000, 0.000, 4.811]],
  "species": ["Sc", "Ta", "Ta", "Rh"],
  "frac_coords": [[0.000, 0.000, 0.000], [0.000, 0.500, 0.500], [0.500, 0.000, 0.500], [0.500, 0.500, 0.000]],
  "ef_ev_per_atom": -0.24,
  "e_above_lowest_polymorph_mev_per_atom": 17,
  "space_group": "Pmmm"
}

=====

{
  "formula": "Ho9B5S21",
  "functional": "PBEsol",
  "state": "optimized geometry",
  "cell": [[8.110, 4.682, 5.723], [-8.110, 4.682, 5.723], [0.000, -9.364, 5.723]],
  "species": ["Ho", "Ho", "Ho", "Ho", "Ho", "Ho", "Ho", "Ho", "Ho", "Ho", "Ho", "Ho", "Ho", "Ho", "Ho", "Ho", "Ho", "Ho", "B", "B", "B", "B", "B", "B", "B", "B", "B", "B", "S", "S", "S", "S", "S", "S", "S", "S", "S", "S", "S", "S", "S", "S", "S", "S", "S", "S", "S", "S", "S", "S", "S", "S", "S", "S", "S", "S", "S", "S", "S", "S", "S", "S", "S", "S", "S", "S", "S", "S", "S", "S"],
  "frac_coords": [[0.027, 0.808, 0.165], [0.048, 0.662, 0.809], [0.130, 0.355, 0.967], [0.133, 0.519, 0.371], [0.165, 0.027, 0.808], [0.342, 0.465, 0.698], [0.355, 0.967, 0.130], [0.371, 0.133, 0.519], [0.441, 0.828, 0.686], [0.465, 0.698, 0.342], [0.519, 0.371, 0.133], [0.662, 0.809, 0.048], [0.686, 0.441, 0.828], [0.698, 0.342, 0.465], [0.808, 0.165, 0.027], [0.809, 0.048, 0.662], [0.828, 0.686, 0.441], [0.967, 0.130, 0.355], [0.129, 0.813, 0.471], [0.183, 0.183, 0.183], [0.309, 0.626, 0.978], [0.363, 0.363, 0.363], [0.471, 0.129, 0.813], [0.626, 0.978, 0.309], [0.682, 0.682, 0.682], [0.813, 0.471, 0.129], [0.862, 0.862, 0.862], [0.978, 0.309, 0.626], [0.033, 0.147, 0.598], [0.062, 0.286, 0.193], [0.064, 0.671, 0.547], [0.092, 0.422, 0.735], [0.147, 0.598, 0.033], [0.150, 0.882, 0.987], [0.193, 0.062, 0.286], [0.208, 0.756, 0.327], [0.238, 0.925, 0.586], [0.250, 0.336, 0.473], [0.286, 0.193, 0.062], [0.289, 0.683, 0.815], [0.327, 0.208, 0.756], [0.336, 0.473, 0.250], [0.360, 0.629, 0.534], [0.368, 0.466, 0.948], [0.408, 0.984, 0.884], [0.422, 0.735, 0.092], [0.466, 0.948, 0.368], [0.473, 0.250, 0.336], [0.534, 0.360, 0.629], [0.547, 0.064, 0.671], [0.579, 0.660, 0.801], [0.586, 0.238, 0.925], [0.598, 0.033, 0.147], [0.629, 0.534, 0.360], [0.660, 0.801, 0.579], [0.671, 0.547, 0.064], [0.683, 0.815, 0.289], [0.732, 0.954, 0.869], [0.735, 0.092, 0.422], [0.756, 0.327, 0.208], [0.801, 0.579, 0.660], [0.815, 0.289, 0.683], [0.869, 0.732, 0.954], [0.882, 0.987, 0.150], [0.884, 0.408, 0.984], [0.925, 0.586, 0.238], [0.948, 0.368, 0.466], [0.954, 0.869, 0.732], [0.984, 0.884, 0.408], [0.987, 0.150, 0.882]],
  "e_form_raw_ev_per_atom": -1.52,
  "space_group": "R3"
}

=====

{
  "formula": "Li3Cu",
  "functional": "PBEsol",
  "state": "optimized geometry",
  "cell": [[2.754, 0.000, 0.000], [0.000, 2.754, 0.000], [0.000, 0.000, 8.092]],
  "species": ["Li", "Li", "Li", "Cu"],
  "frac_coords": [[0.000, 0.000, 0.000], [0.500, 0.500, 0.292], [0.500, 0.500, 0.708], [0.000, 0.000, 0.500]],
  "ef_ev_per_atom": 0.03,
  "space_group": "P4/mmm"
}

=====

{
  "formula": "CoP2I",
  "functional": "PBEsol",
  "state": "optimized geometry",
  "cell": [[-2.965, 2.965, 4.924], [2.965, -2.965, 4.924], [2.965, 2.965, -4.924]],
  "species": ["Co", "Co", "P", "P", "P", "P", "I", "I"],
  "frac_coords": [[0.000, 0.000, 0.000], [0.750, 0.250, 0.500], [0.375, 0.006, 0.131], [0.756, 0.625, 0.631], [0.875, 0.244, 0.869], [0.994, 0.125, 0.369], [0.250, 0.750, 0.500], [0.500, 0.500, 0.000]],
  "e_form_raw_ev_per_atom": 0.15,
  "space_group": "I-42d"
}

=====

{
  "formula": "KNaIn2Pb",
  "functional": "PBEsol",
  "state": "optimized geometry",
  "cell": [[5.484, 0.000, 0.000], [0.000, 5.484, 0.000], [0.000, 0.000, 5.429]],
  "species": ["K", "Na", "In", "In", "Pb"],
  "frac_coords": [[0.000, 0.000, 0.000], [0.000, 0.000, 0.500], [0.000, 0.500, 0.500], [0.500, 0.000, 0.500], [0.500, 0.500, 0.000]],
  "ef_ev_per_atom": 0.41,
  "space_group": "P4/mmm"
}

=====

{
  "formula": "LiTl",
  "functional": "PBEsol",
  "state": "optimized geometry",
  "cell": [[5.109, -1.744, 0.000], [5.109, 1.744, 0.000], [-1.344, 0.000, 4.678]],
  "species": ["Li", "Li", "Tl", "Tl"],
  "frac_coords": [[0.123, 0.123, 0.338], [0.877, 0.877, 0.662], [0.379, 0.379, 0.172], [0.621, 0.621, 0.828]],
  "ef_ev_per_atom": -0.23,
  "space_group": "C2/m"
}

=====

{
  "formula": "KAs2",
  "functional": "PBEsol",
  "state": "optimized geometry",
  "cell": [[0.000, 3.439, 3.439], [3.439, 0.000, 3.439], [3.439, 3.439, 0.000]],
  "species": ["K", "As", "As"],
  "frac_coords": [[0.000, 0.000, 0.000], [0.250, 0.250, 0.250], [0.750, 0.750, 0.750]],
  "ef_ev_per_atom": 0.72,
  "space_group": "Fm-3m"
}

=====

{
  "formula": "TlSiSe2F",
  "functional": "PBEsol",
  "state": "optimized geometry",
  "cell": [[4.641, 0.000, 0.000], [0.000, 4.641, 0.000], [0.000, 0.000, 4.927]],
  "species": ["Tl", "Si", "Se", "Se", "F"],
  "frac_coords": [[0.000, 0.000, 0.000], [0.500, 0.500, 0.000], [0.000, 0.500, 0.500], [0.500, 0.000, 0.500], [0.000, 0.000, 0.500]],
  "e_form_raw_ev_per_atom": 0.25,
  "space_group": "P4/mmm"
}

=====

{
  "formula": "Ti3MnH",
  "functional": "PBEsol",
  "state": "optimized geometry",
  "cell": [[3.978, 0.000, 0.000], [0.000, 3.978, 0.000], [0.000, 0.000, 3.978]],
  "species": ["Ti", "Ti", "Ti", "Mn", "H"],
  "frac_coords": [[0.000, 0.000, 0.500], [0.000, 0.500, 0.000], [0.500, 0.000, 0.000], [0.500, 0.500, 0.500], [0.000, 0.000, 0.000]],
  "energy_ev_per_atom": -7.649,
  "space_group": "Pm-3m"
}

=====

{
  "formula": "ScCuSn2Cl",
  "functional": "PBEsol",
  "state": "optimized geometry",
  "cell": [[5.108, 0.000, 0.000], [0.000, 5.108, 0.000], [0.000, 0.000, 4.503]],
  "species": ["Sc", "Cu", "Sn", "Sn", "Cl"],
  "frac_coords": [[0.000, 0.000, 0.000], [0.500, 0.500, 0.500], [0.000, 0.500, 0.500], [0.500, 0.000, 0.500], [0.500, 0.500, 0.000]],
  "e_form_raw_ev_per_atom": 0.13,
  "space_group": "P4/mmm"
}

=====

{
  "formula": "LiY2Tc",
  "functional": "PBEsol",
  "state": "optimized geometry",
  "cell": [[3.423, 0.000, 0.000], [0.000, 3.423, 0.000], [0.000, 0.000, 7.853]],
  "species": ["Li", "Y", "Y", "Tc"],
  "frac_coords": [[0.000, 0.000, 0.000], [0.500, 0.500, 0.296], [0.500, 0.500, 0.704], [0.000, 0.000, 0.500]],
  "ef_ev_per_atom": 0.01,
  "space_group": "P4/mmm"
}

=====

{
  "formula": "CaMg2Ag2",
  "functional": "PBEsol",
  "state": "optimized geometry",
  "cell": [[8.055, 0.000, 0.000], [0.000, 8.055, 0.000], [0.000, 0.000, 3.274]],
  "species": ["Ca", "Ca", "Mg", "Mg", "Mg", "Mg", "Ag", "Ag", "Ag", "Ag"],
  "frac_coords": [[0.000, 0.000, 0.000], [0.500, 0.500, 0.000], [0.152, 0.348, 0.500], [0.348, 0.848, 0.500], [0.652, 0.152, 0.500], [0.848, 0.652, 0.500], [0.139, 0.639, 0.000], [0.361, 0.139, 0.000], [0.639, 0.861, 0.000], [0.861, 0.361, 0.000]],
  "ef_ev_per_atom": -0.19,
  "e_above_lowest_polymorph_mev_per_atom": 22,
  "space_group": "P4/mbm"
}

=====

{
  "formula": "Li2CuAg",
  "functional": "PBEsol",
  "state": "optimized geometry",
  "cell": [[-1.930, 1.930, 3.717], [1.930, -1.930, 3.717], [1.930, 1.930, -3.717]],
  "species": ["Li", "Li", "Cu", "Ag"],
  "frac_coords": [[0.000, 0.000, 0.000], [0.750, 0.250, 0.500], [0.500, 0.500, 0.000], [0.250, 0.750, 0.500]],
  "ef_ev_per_atom": -0.08,
  "space_group": "I-4m2"
}

=====

{
  "formula": "NaCa3Zn",
  "functional": "PBEsol",
  "state": "optimized geometry",
  "cell": [[5.757, 0.000, 0.000], [0.000, 5.757, 0.000], [0.000, 0.000, 5.757]],
  "species": ["Na", "Ca", "Ca", "Ca", "Zn"],
  "frac_coords": [[0.000, 0.000, 0.000], [0.000, 0.500, 0.500], [0.500, 0.000, 0.500], [0.500, 0.500, 0.000], [0.500, 0.500, 0.500]],
  "ef_ev_per_atom": 0.03,
  "space_group": "Pm-3m"
}

=====

{
  "formula": "Sr3LaTi2Mn2O12",
  "functional": "PBEsol",
  "state": "optimized geometry",
  "cell": [[2.728, 1.575, 8.906], [-2.728, 1.575, 8.906], [0.000, -3.150, 8.906]],
  "species": ["Sr", "Sr", "Sr", "La", "Ti", "Ti", "Mn", "Mn", "O", "O", "O", "O", "O", "O", "O", "O", "O", "O", "O", "O"],
  "frac_coords": [[0.000, 0.000, 0.000], [0.249, 0.249, 0.249], [0.751, 0.751, 0.751], [0.500, 0.500, 0.500], [0.376, 0.376, 0.376], [0.624, 0.624, 0.624], [0.125, 0.125, 0.125], [0.875, 0.875, 0.875], [0.000, 0.000, 0.500], [0.000, 0.500, 0.000], [0.000, 0.500, 0.500], [0.250, 0.747, 0.747], [0.253, 0.253, 0.750], [0.253, 0.750, 0.253], [0.500, 0.000, 0.000], [0.500, 0.000, 0.500], [0.500, 0.500, 0.000], [0.747, 0.250, 0.747], [0.747, 0.747, 0.250], [0.750, 0.253, 0.253]],
  "e_form_raw_ev_per_atom": -2.84,
  "space_group": "R-3m"
}

=====

{
  "formula": "AlInSCl2",
  "functional": "PBEsol",
  "state": "optimized geometry",
  "cell": [[4.787, 0.000, 0.000], [0.000, 4.787, 0.000], [0.000, 0.000, 4.605]],
  "species": ["Al", "In", "S", "Cl", "Cl"],
  "frac_coords": [[0.000, 0.000, 0.000], [0.500, 0.500, 0.500], [0.000, 0.000, 0.500], [0.000, 0.500, 0.000], [0.500, 0.000, 0.000]],
  "e_form_raw_ev_per_atom": -0.86,
  "space_group": "P4/mmm"
}

=====

{
  "formula": "MnIn2Au",
  "functional": "PBEsol",
  "state": "optimized geometry",
  "cell": [[0.000, 3.372, 3.372], [3.372, 0.000, 3.372], [3.372, 3.372, 0.000]],
  "species": ["Mn", "In", "In", "Au"],
  "frac_coords": [[0.000, 0.000, 0.000], [0.250, 0.250, 0.250], [0.500, 0.500, 0.500], [0.750, 0.750, 0.750]],
  "ef_ev_per_atom": 0.21,
  "e_above_lowest_polymorph_mev_per_atom": 113,
  "space_group": "F-43m"
}

=====

{
  "formula": "Cs2Cd2Hg",
  "functional": "PBEsol",
  "state": "optimized geometry",
  "cell": [[-2.110, 2.110, 11.112], [2.110, -2.110, 11.112], [2.110, 2.110, -11.112]],
  "species": ["Cs", "Cs", "Cd", "Cd", "Hg"],
  "frac_coords": [[0.106, 0.106, 0.000], [0.894, 0.894, 0.000], [0.250, 0.750, 0.500], [0.750, 0.250, 0.500], [0.500, 0.500, 0.000]],
  "ef_ev_per_atom": -0.02,
  "e_above_lowest_polymorph_mev_per_atom": 0,
  "space_group": "I4/mmm"
}

=====

{
  "formula": "La2ZrAu",
  "functional": "PBEsol",
  "state": "optimized geometry",
  "cell": [[-2.279, 2.279, 4.798], [2.279, -2.279, 4.798], [2.279, 2.279, -4.798]],
  "species": ["La", "La", "Zr", "Au"],
  "frac_coords": [[0.250, 0.750, 0.500], [0.750, 0.250, 0.500], [0.000, 0.000, 0.000], [0.500, 0.500, 0.000]],
  "ef_ev_per_atom": -0.11,
  "e_above_lowest_polymorph_mev_per_atom": 25,
  "space_group": "I4/mmm"
}

=====

{
  "formula": "SrRe2TcNi",
  "functional": "PBEsol",
  "state": "optimized geometry",
  "cell": [[4.458, 0.000, 0.000], [0.000, 4.458, 0.000], [0.000, 0.000, 4.916]],
  "species": ["Sr", "Re", "Re", "Tc", "Ni"],
  "frac_coords": [[0.000, 0.000, 0.000], [0.000, 0.500, 0.500], [0.500, 0.000, 0.500], [0.500, 0.500, 0.000], [0.000, 0.000, 0.500]],
  "ef_ev_per_atom": 1.98,
  "space_group": "P4/mmm"
}